Record 1
! La2Pt2Br PBE optimized geometry; values from VASP
&SYSTEM
  ibrav = 0, nat = 5, ntyp = 3
/
ATOMIC_SPECIES
Br 79.90 Br.upf
Pt 195.08 Pt.upf
La 138.91 La.upf
CELL_PARAMETERS angstrom
-3.608 1.301 3.680
0.432 -4.848 2.138
2.148 -0.088 5.976
ATOMIC_POSITIONS angstrom
Br 0.000 0.000 0.000
Pt -0.628 -1.340 3.697
Pt -0.399 -2.294 8.097
La -1.524 -0.280 6.283
La 0.496 -3.354 5.511
! E_tot: -28.78 eV/cell
! E_form (uncorrected): -1.034 eV/atom
! Mass density: 8.59 g/cm3
! Space group: I4/mmm (139)

***

Record 2
! Al4ZnRu PBE optimized geometry; values from VASP
&SYSTEM
  ibrav = 0, nat = 6, ntyp = 3
/
ATOMIC_SPECIES
Al 26.98 Al.upf
Zn 65.41 Zn.upf
Ru 101.07 Ru.upf
CELL_PARAMETERS angstrom
0.000 3.575 3.575
3.575 0.000 3.575
3.575 3.575 0.000
ATOMIC_POSITIONS angstrom
Al 2.689 2.689 4.461
Al 2.689 4.461 2.689
Al 4.461 4.461 4.461
Al 4.461 2.689 2.689
Zn 0.000 0.000 0.000
Ru 1.787 1.787 1.787
! E_tot: -25.32 eV/cell
! Mass density: 4.99 g/cm3
! Space group: F-43m (216)
! Energy of formation from the pure elements: 3.3 kJ/mol of atoms

***

Record 3
! Ba6CdPt2I3 PBE optimized geometry; values from VASP
&SYSTEM
  ibrav = 0, nat = 12, ntyp = 4
/
ATOMIC_SPECIES
Ba 137.33 Ba.upf
Cd 112.41 Cd.upf
Pt 195.08 Pt.upf
I 126.90 I.upf
CELL_PARAMETERS angstrom
-2.047 -3.064 2.915
7.185 -7.136 -2.458
4.441 7.551 7.270
ATOMIC_POSITIONS angstrom
Ba 8.590 -2.242 3.674
Ba 4.175 -3.309 3.239
Ba 0.989 -0.408 4.053
Ba 1.914 -1.571 -0.307
Ba 7.665 -1.079 8.034
Ba 5.405 0.659 4.488
Cd -1.023 -1.532 1.457
Pt 6.029 -2.290 5.612
Pt 3.550 -0.360 2.114
I 2.569 -5.100 0.228
I 2.513 1.291 6.908
I 7.066 -3.941 0.819
! E_tot: -41.42 eV/cell
! E_form (uncorrected): -1.019 eV/atom
! Mass density: 5.53 g/cm3
! Space group: C2/m (12)

***

Record 4
! MnAlAsSe2 PBE optimized geometry; values from VASP
&SYSTEM
  ibrav = 0, nat = 5, ntyp = 4
/
ATOMIC_SPECIES
As 74.92 As.upf
Mn 54.94 Mn.upf
Al 26.98 Al.upf
Se 78.96 Se.upf
CELL_PARAMETERS angstrom
4.855 0.000 0.000
0.000 4.855 0.000
0.000 0.000 4.775
ATOMIC_POSITIONS angstrom
As 0.000 0.000 2.387
Mn 2.428 2.428 2.387
Al 0.000 0.000 0.000
Se 0.000 2.428 0.000
Se 2.428 0.000 0.000
! E_tot: -20.02 eV/cell
! Polymorph energy (0 for the lowest one): 0.5214 eV/atom
! E_form (uncorrected): 0.901 eV/atom
! Mass density: 4.64 g/cm3
! Space group: P4/mmm (123)

***

Record 5
! RbFeBr3 PBE optimized geometry; values from VASP
&SYSTEM
  ibrav = 0, nat = 10, ntyp = 3
/
ATOMIC_SPECIES
Rb 85.47 Rb.upf
Fe 55.84 Fe.upf
Br 79.90 Br.upf
CELL_PARAMETERS angstrom
-4.746 -4.169 -4.966
6.967 1.476 -2.616
1.228 -6.156 2.588
ATOMIC_POSITIONS angstrom
Rb 5.030 -0.675 -1.421
Rb 1.156 -6.281 0.084
Fe 4.003 -7.006 -3.176
Fe -2.562 -4.113 -3.127
Br -1.047 -8.225 -2.055
Br -0.626 -3.754 -1.708
Br 1.987 -1.600 0.095
Br 4.197 -5.351 -1.431
Br 2.490 -2.894 -4.248
Br 2.069 -7.370 -4.595
! E_tot: -38.82 eV/cell
! E_form (uncorrected): -0.992 eV/atom
! Mass density: 3.43 g/cm3
! Space group: P-1 (2)

***

Record 6
! PrAlCd PBE optimized geometry; values from VASP
&SYSTEM
  ibrav = 0, nat = 3, ntyp = 3
/
ATOMIC_SPECIES
Pr 140.91 Pr.upf
Al 26.98 Al.upf
Cd 112.41 Cd.upf
CELL_PARAMETERS angstrom
-3.585 0.275 -3.324
0.572 -2.080 -4.396
-2.569 -4.002 -1.168
ATOMIC_POSITIONS angstrom
Pr 0.000 0.000 0.000
Al -1.395 -1.452 -2.222
Cd -2.791 -2.903 -4.444
! E_tot: -10.07 eV/cell
! Mass density: 5.61 g/cm3
! Space group: F-43m (216)
! Energy of formation from the pure elements: -20.2 kJ/mol of atoms

***

Record 7
! Li5SbAu8 PBE optimized geometry; values from VASP
&SYSTEM
  ibrav = 0, nat = 14, ntyp = 3
/
ATOMIC_SPECIES
Li 6.94 Li.upf
Sb 121.76 Sb.upf
Au 196.97 Au.upf
CELL_PARAMETERS angstrom
-4.776 4.056 2.784
1.936 -4.785 4.513
5.373 3.879 -1.758
ATOMIC_POSITIONS angstrom
Li 1.206 -0.992 1.451
Li -1.226 0.015 6.120
Li 1.222 2.746 3.907
Li 0.299 3.968 0.513
Li 3.864 4.531 -0.401
Sb 3.804 1.531 1.634
Au 1.216 -2.655 3.616
Au -0.705 5.992 1.648
Au -1.226 3.103 2.627
Au 2.552 4.306 2.045
Au 0.085 0.225 3.671
Au 3.548 1.257 4.419
Au 1.009 1.705 1.392
Au 3.655 -1.334 2.733
! E_tot: -44.64 eV/cell
! E_form (uncorrected): -0.338 eV/atom
! Mass density: 11.60 g/cm3
! Space group: I-4 (82)

***

Record 8
! ZnN PBE optimized geometry; values from VASP
&SYSTEM
  ibrav = 0, nat = 2, ntyp = 2
/
ATOMIC_SPECIES
Zn 65.41 Zn.upf
N 14.01 N.upf
CELL_PARAMETERS angstrom
3.245 0.000 0.000
1.622 2.810 0.000
1.622 0.937 2.649
ATOMIC_POSITIONS angstrom
Zn 0.000 0.000 0.000
N 1.622 0.937 0.662
! E_tot: -8.36 eV/cell
! Polymorph energy (0 for the lowest one): 0.3931 eV/atom
! E_form (uncorrected): 0.620 eV/atom
! Mass density: 5.46 g/cm3
! Space group: F-43m (216)